[1]
DFT (PBE) results for crystalline Nd2HoAu6 at its relaxed geometry.

The structure in extended XYZ format:
```
9
Lattice="6.663 0.000 0.000 -3.332 5.771 0.000 0.000 0.000 5.538" Properties=species:S:1:pos:R:3 pbc="T T T"
Nd 0.000 3.847 1.858
Nd 3.332 1.924 3.680
Ho 0.000 0.000 2.769
Au 0.000 2.175 4.558
Au -1.448 4.683 4.558
Au 1.884 1.088 0.980
Au 1.448 4.683 4.558
Au 4.779 1.088 0.980
Au 3.332 3.595 0.980
```

Computed properties:
Its formation energy is -555.8 kJ/mol of formula units.


[2]
DFT (PBE) results for crystalline Nd2HoAu3 at its relaxed geometry.

The structure in extended XYZ format:
```
12
Lattice="5.181 0.000 0.000 0.000 15.724 0.000 0.000 0.000 3.653" Properties=species:S:1:pos:R:3 pbc="T T T"
Nd 1.295 1.294 0.004
Nd 1.295 6.568 0.004
Nd 3.886 9.155 3.649
Nd 3.886 14.430 3.649
Ho 1.295 11.793 3.650
Ho 3.886 3.931 0.003
Au 1.295 3.931 1.826
Au 1.295 9.347 1.822
Au 1.295 14.238 1.822
Au 3.886 1.485 1.831
Au 3.886 6.376 1.831
Au 3.886 11.793 1.827
```

Computed properties:
Its formation energy is -459.6 kJ/mol of formula units.


[3]
DFT (PBE) results for crystalline NdHo2Au at its relaxed geometry.

The structure in extended XYZ format:
```
12
Lattice="3.728 0.000 0.000 -1.864 3.229 0.000 0.000 0.000 29.946" Properties=species:S:1:pos:R:3 pbc="T T T"
Nd 0.000 0.000 0.000
Nd 0.000 2.152 19.964
Nd 1.864 1.076 9.982
Ho 0.000 0.000 7.017
Ho 0.000 0.000 22.928
Ho 0.000 2.152 12.946
Ho 0.000 2.152 26.981
Ho 1.864 1.076 2.964
Ho 1.864 1.076 16.999
Au 0.000 0.000 14.973
Au 0.000 2.152 4.991
Au 1.864 1.076 24.955
```

Computed properties:
Its formation energy is -111.5 kJ/mol of formula units. Its energy above the most stable polymorph in this dataset is 124 meV per atom.


no.,total moment (μB per atom),calculated total energy (eV per atom)
1,0.000,-4.393
2,0.000,-4.785
3,0.000,-4.589